(one)
{"formula": "SrZr2H", "functional": "PBE-GGA", "state": "optimized geometry", "crystal_system": "cubic", "space_group": "Fm-3m", "n_ef_per_ev_fu": 7.61, "lattice_angstrom": [[0.613, -4.803, 1.485], [1.254, -1.027, 4.798], [-3.384, -2.144, 3.098]], "species": ["Zr", "Sr", "Zr", "H"], "frac_coords": [[0.750, 0.750, 0.750], [0.500, 0.500, 0.500], [0.250, 0.250, 0.250], [0.000, 0.000, 0.000]]}

(two)
{"formula": "SrZr2H", "functional": "PBE-GGA", "state": "optimized geometry", "crystal_system": "tetragonal", "space_group": "I-42d", "n_ef_per_ev_fu": 5.97, "lattice_angstrom": [[6.514, 0.000, 0.000], [0.000, 6.514, 0.000], [3.257, 3.257, 4.618]], "species": ["Sr", "Zr", "H", "Zr", "Zr", "H", "Sr", "Zr"], "frac_coords": [[0.750, 0.250, 0.500], [0.373, 0.125, 0.250], [0.250, 0.750, 0.500], [0.875, 0.623, 0.750], [0.377, 0.625, 0.250], [0.500, 0.500, 0.000], [0.000, 0.000, 0.000], [0.375, 0.627, 0.750]]}

Of them, (two) has the highest stability.

(one)
{"formula": "SrZr2H2", "functional": "PBE-GGA", "state": "optimized geometry", "crystal_system": "tetragonal", "space_group": "I4/mmm", "n_ef_per_ev_fu": 4.05, "lattice_angstrom": [[-4.132, -0.385, -0.347], [0.480, -1.782, -3.733], [-1.524, -6.846, 0.749]], "species": ["Zr", "H", "Zr", "H", "Sr"], "frac_coords": [[0.750, 0.250, 0.500], [0.788, 0.788, 0.424], [0.250, 0.750, 0.500], [0.212, 0.212, 0.576], [0.000, 0.000, 0.000]]}

(two)
{"formula": "SrZr2H2", "functional": "PBE-GGA", "state": "optimized geometry", "crystal_system": "tetragonal", "space_group": "P4/mbm", "n_ef_per_ev_fu": 5.11, "lattice_angstrom": [[-0.300, -7.300, 2.560], [6.230, -1.746, -4.251], [1.882, 0.778, 2.439]], "species": ["H", "Sr", "Zr", "Zr", "H", "H", "Zr", "Sr", "Zr", "H"], "frac_coords": [[0.092, 0.408, 0.000], [0.000, 0.000, 0.000], [0.374, 0.126, 0.500], [0.126, 0.626, 0.500], [0.592, 0.092, 0.000], [0.408, 0.908, 0.000], [0.626, 0.874, 0.500], [0.500, 0.500, 0.000], [0.874, 0.374, 0.500], [0.908, 0.592, 0.000]]}

Of them, (one) has the highest stability.

(one)
{"formula": "Sr2Zr2H", "functional": "PBE-GGA", "state": "optimized geometry", "crystal_system": "tetragonal", "space_group": "I4/mmm", "n_ef_per_ev_fu": 4.41, "lattice_angstrom": [[-3.937, 0.151, -0.266], [0.029, -3.241, -2.256], [-2.716, -7.176, 6.821]], "species": ["Sr", "H", "Zr", "Sr", "Zr"], "frac_coords": [[0.593, 0.593, 0.813], [0.000, 0.000, 0.000], [0.250, 0.750, 0.500], [0.407, 0.407, 0.187], [0.750, 0.250, 0.500]]}

(two)
{"formula": "Sr2Zr2H", "functional": "PBE-GGA", "state": "optimized geometry", "crystal_system": "tetragonal", "space_group": "P4/mbm", "n_ef_per_ev_fu": 3.68, "lattice_angstrom": [[6.436, 0.000, 0.000], [0.000, 6.436, 0.000], [0.000, 0.000, 6.541]], "species": ["Zr", "Sr", "H", "Sr", "Zr", "Zr", "Sr", "Zr", "H", "Sr"], "frac_coords": [[0.851, 0.351, 0.500], [0.696, 0.196, 0.000], [0.500, 0.500, 0.000], [0.196, 0.304, 0.000], [0.351, 0.149, 0.500], [0.649, 0.851, 0.500], [0.804, 0.696, 0.000], [0.149, 0.649, 0.500], [0.000, 0.000, 0.000], [0.304, 0.804, 0.000]]}

Of them, (one) has the highest stability.

(one)
{"formula": "Sr2ZrH", "functional": "PBE-GGA", "state": "optimized geometry", "crystal_system": "cubic", "space_group": "Fm-3m", "n_ef_per_ev_fu": 5.25, "lattice_angstrom": [[0.000, 4.054, 4.054], [4.054, 0.000, 4.054], [4.054, 4.054, 0.000]], "species": ["Zr", "Sr", "Sr", "H"], "frac_coords": [[0.500, 0.500, 0.500], [0.750, 0.750, 0.750], [0.250, 0.250, 0.250], [0.000, 0.000, 0.000]]}

(two)
{"formula": "Sr2ZrH", "functional": "PBE-GGA", "state": "optimized geometry", "crystal_system": "tetragonal", "space_group": "I-42d", "n_ef_per_ev_fu": 3.58, "lattice_angstrom": [[-3.079, 5.636, 3.717], [-5.262, -4.563, 2.558], [-1.769, -0.358, 6.484]], "species": ["H", "Sr", "Zr", "Zr", "Sr", "Sr", "H", "Sr"], "frac_coords": [[0.500, 0.500, 0.000], [0.499, 0.125, 0.250], [0.000, 0.000, 0.000], [0.750, 0.250, 0.500], [0.251, 0.625, 0.250], [0.875, 0.749, 0.750], [0.250, 0.750, 0.500], [0.375, 0.501, 0.750]]}

Of them, (two) has the highest stability.

(one)
{"formula": "TaH5", "functional": "PBE-GGA", "state": "optimized geometry", "crystal_system": "monoclinic", "space_group": "C2/m", "n_ef_per_ev_fu": 0.56, "lattice_angstrom": [[-2.915, -0.037, -1.221], [2.089, -2.854, -0.809], [-1.878, 2.375, 4.411]], "species": ["H", "H", "Ta", "H", "H", "H"], "frac_coords": [[0.474, 0.948, 0.532], [0.971, 0.942, 0.030], [0.222, 0.444, 0.944], [0.473, 0.946, 0.859], [0.970, 0.941, 0.357], [0.722, 0.444, 0.444]]}

(two)
{"formula": "TaH5", "functional": "PBE-GGA", "state": "optimized geometry", "crystal_system": "orthorhombic", "space_group": "Cmmm", "n_ef_per_ev_fu": 0.76, "lattice_angstrom": [[-0.747, -2.712, -0.920], [-0.187, -0.901, 2.807], [-4.515, 1.689, -1.312]], "species": ["H", "H", "H", "Ta", "H", "H"], "frac_coords": [[0.000, 0.366, 0.733], [0.000, 0.634, 0.267], [0.500, 0.867, 0.735], [0.000, 0.000, 0.000], [0.500, 0.500, 0.000], [0.500, 0.133, 0.265]]}

Of them, (two) has the highest stability.

(one)
{"formula": "TaTc3H", "functional": "PBE-GGA", "state": "optimized geometry", "crystal_system": "cubic", "space_group": "Pm-3m", "n_ef_per_ev_fu": 6.27, "lattice_angstrom": [[-1.477, -1.938, 4.115], [0.017, -4.329, -2.032], [4.548, -0.613, 1.344]], "species": ["Ta", "Tc", "Tc", "H", "Tc"], "frac_coords": [[0.000, 0.000, 0.000], [0.000, 0.500, 0.000], [0.500, 0.000, 0.000], [0.500, 0.500, 0.500], [0.000, 0.000, 0.500]]}

(two)
{"formula": "TaTc3H", "functional": "PBE-GGA", "state": "optimized geometry", "crystal_system": "cubic", "space_group": "Pm-3m", "n_ef_per_ev_fu": 5.93, "lattice_angstrom": [[-2.306, 0.022, -3.262], [3.227, -0.571, -2.285], [-0.479, -3.954, 0.312]], "species": ["H", "Tc", "Tc", "Tc", "Ta"], "frac_coords": [[0.000, 0.000, 0.000], [0.500, 0.000, 0.000], [0.000, 0.000, 0.500], [0.000, 0.500, 0.000], [0.500, 0.500, 0.500]]}

Of them, (two) has the highest stability.

(one)
{"formula": "TaTc2H2", "functional": "PBE-GGA", "state": "optimized geometry", "crystal_system": "tetragonal", "space_group": "I4/mmm", "n_ef_per_ev_fu": 3.59, "lattice_angstrom": [[3.182, 0.000, 0.000], [0.000, 3.182, 0.000], [1.591, 1.591, 5.298]], "species": ["Tc", "Tc", "H", "H", "Ta"], "frac_coords": [[0.355, 0.355, 0.290], [0.645, 0.645, 0.710], [0.250, 0.750, 0.500], [0.750, 0.250, 0.500], [0.000, 0.000, 0.000]]}

(two)
{"formula": "TaTc2H2", "functional": "PBE-GGA", "state": "optimized geometry", "crystal_system": "tetragonal", "space_group": "P4/mbm", "n_ef_per_ev_fu": 3.88, "lattice_angstrom": [[5.921, 0.000, 0.000], [0.000, 5.921, 0.000], [0.000, 0.000, 3.157]], "species": ["Tc", "H", "Tc", "Tc", "H", "Ta", "H", "H", "Ta", "Tc"], "frac_coords": [[0.850, 0.350, 0.500], [0.731, 0.231, 0.000], [0.150, 0.650, 0.500], [0.350, 0.150, 0.500], [0.769, 0.731, 0.000], [0.500, 0.500, 0.000], [0.231, 0.269, 0.000], [0.269, 0.769, 0.000], [0.000, 0.000, 0.000], [0.650, 0.850, 0.500]]}

Of them, (one) has the highest stability.

(one)
{"formula": "TaTcH2", "functional": "PBE-GGA", "state": "optimized geometry", "crystal_system": "tetragonal", "space_group": "I-42d", "n_ef_per_ev_fu": 1.84, "lattice_angstrom": [[4.175, 0.000, 0.000], [0.000, 4.175, 0.000], [2.087, 2.087, 4.462]], "species": ["H", "H", "Ta", "H", "Ta", "Tc", "H", "Tc"], "frac_coords": [[0.375, 0.398, 0.750], [0.602, 0.125, 0.250], [0.750, 0.250, 0.500], [0.148, 0.625, 0.250], [0.000, 0.000, 0.000], [0.500, 0.500, 0.000], [0.875, 0.852, 0.750], [0.250, 0.750, 0.500]]}

(two)
{"formula": "TaTcH2", "functional": "PBE-GGA", "state": "optimized geometry", "crystal_system": "trigonal", "space_group": "R-3m", "n_ef_per_ev_fu": 2.92, "lattice_angstrom": [[-1.504, 2.581, -0.351], [-0.488, 1.093, -2.759], [-4.942, -1.301, -1.281]], "species": ["Ta", "Tc", "H", "H"], "frac_coords": [[0.000, 0.000, 0.000], [0.500, 0.500, 0.500], [0.127, 0.127, 0.620], [0.873, 0.873, 0.380]]}

Of them, (one) has the highest stability.

(one)
{"formula": "TaTcH2", "functional": "PBE-GGA", "state": "optimized geometry", "crystal_system": "trigonal", "space_group": "R3m", "n_ef_per_ev_fu": 1.43, "lattice_angstrom": [[-0.849, -2.830, -0.165], [1.167, -1.778, -2.058], [3.739, -2.810, 2.420]], "species": ["Tc", "H", "Ta", "H"], "frac_coords": [[0.674, 0.674, 0.978], [0.260, 0.260, 0.219], [0.496, 0.496, 0.511], [0.069, 0.069, 0.792]]}

(two)
{"formula": "TaTcH2", "functional": "PBE-GGA", "state": "optimized geometry", "crystal_system": "cubic", "space_group": "Fm-3m", "n_ef_per_ev_fu": 1.67, "lattice_angstrom": [[0.000, 2.688, 2.688], [2.688, 0.000, 2.688], [2.688, 2.688, 0.000]], "species": ["H", "Tc", "Ta", "H"], "frac_coords": [[0.750, 0.750, 0.750], [0.000, 0.000, 0.000], [0.500, 0.500, 0.500], [0.250, 0.250, 0.250]]}

Of them, (one) has the highest stability.

(one)
{"formula": "Ta2Tc2H", "functional": "PBE-GGA", "state": "optimized geometry", "crystal_system": "tetragonal", "space_group": "I4/mmm", "n_ef_per_ev_fu": 3.39, "lattice_angstrom": [[3.897, 0.000, 0.000], [0.000, 3.897, 0.000], [1.948, 1.948, 6.362]], "species": ["H", "Tc", "Ta", "Ta", "Tc"], "frac_coords": [[0.000, 0.000, 0.000], [0.750, 0.250, 0.500], [0.379, 0.379, 0.243], [0.621, 0.621, 0.757], [0.250, 0.750, 0.500]]}

(two)
{"formula": "Ta2Tc2H", "functional": "PBE-GGA", "state": "optimized geometry", "crystal_system": "tetragonal", "space_group": "P4/mbm", "n_ef_per_ev_fu": 3.81, "lattice_angstrom": [[-2.905, 6.064, -2.536], [-6.161, -3.478, -1.258], [-1.016, 0.739, 2.932]], "species": ["Tc", "H", "Tc", "Ta", "Tc", "H", "Ta", "Tc", "Ta", "Ta"], "frac_coords": [[0.141, 0.641, 0.500], [0.000, 0.000, 0.000], [0.359, 0.141, 0.500], [0.657, 0.157, 0.000], [0.641, 0.859, 0.500], [0.500, 0.500, 0.000], [0.343, 0.843, 0.000], [0.859, 0.359, 0.500], [0.157, 0.343, 0.000], [0.843, 0.657, 0.000]]}

Of them, (two) has the highest stability.

(one)
{"formula": "TaTi2TcH", "functional": "PBE-GGA", "state": "optimized geometry", "crystal_system": "tetragonal", "space_group": "P4/mmm", "n_ef_per_ev_fu": 7.08, "lattice_angstrom": [[-0.267, 2.062, 3.202], [-3.604, -1.173, 0.455], [1.497, -3.640, 2.468]], "species": ["Ti", "Ta", "H", "Tc", "Ti"], "frac_coords": [[0.000, 0.500, 0.000], [0.500, 0.500, 0.500], [0.000, 0.000, 0.000], [0.000, 0.000, 0.500], [0.500, 0.000, 0.000]]}

(two)
{"formula": "TaTi2TcH", "functional": "PBE-GGA", "state": "optimized geometry", "crystal_system": "tetragonal", "space_group": "P4/mmm", "n_ef_per_ev_fu": 7.06, "lattice_angstrom": [[3.811, 0.000, 0.000], [0.000, 3.811, 0.000], [0.000, 0.000, 4.667]], "species": ["Ti", "Tc", "H", "Ti", "Ta"], "frac_coords": [[0.000, 0.500, 0.000], [0.500, 0.500, 0.500], [0.000, 0.000, 0.000], [0.500, 0.000, 0.000], [0.000, 0.000, 0.500]]}

Of them, (two) has the highest stability.

(one)
{"formula": "Zr2TaTcH", "functional": "PBE-GGA", "state": "optimized geometry", "crystal_system": "tetragonal", "space_group": "P4/mmm", "n_ef_per_ev_fu": 6.73, "lattice_angstrom": [[4.743, 0.000, 0.000], [0.000, 4.743, 0.000], [0.000, 0.000, 3.515]], "species": ["Zr", "Zr", "Ta", "Tc", "H"], "frac_coords": [[0.000, 0.500, 0.000], [0.500, 0.000, 0.000], [0.500, 0.500, 0.500], [0.000, 0.000, 0.500], [0.000, 0.000, 0.000]]}

(two)
{"formula": "Zr2TaTcH", "functional": "PBE-GGA", "state": "optimized geometry", "crystal_system": "tetragonal", "space_group": "P4/mmm", "n_ef_per_ev_fu": 5.09, "lattice_angstrom": [[-2.748, -3.479, -1.474], [3.716, -2.160, -1.831], [0.530, -1.749, 3.139]], "species": ["Zr", "Tc", "H", "Ta", "Zr"], "frac_coords": [[0.000, 0.500, 0.000], [0.500, 0.500, 0.500], [0.000, 0.000, 0.000], [0.000, 0.000, 0.500], [0.500, 0.000, 0.000]]}

Of them, (one) has the highest stability.